# LiErMgZn

LiErMgZn after structural relaxation (PBE, Alexandria).

Lattice parameters (Å, degrees): 4.8393 4.8393 4.8393 60.00 60.00 60.00
With the nearest neighbours (Å) after each atom.
Positions (direct):
Li (0.0000, 0.0000, 0.0000)  4 Mg 2.96, 4 Er 2.96
Er (0.2500, 0.2500, 0.2500)  4 Li 2.96, 4 Zn 2.96
Mg (0.7500, 0.7500, 0.7500)  4 Li 2.96, 4 Zn 2.96
Zn (0.5000, 0.5000, 0.5000)  4 Er 2.96, 4 Mg 2.96

N(E_F) ... 2.31 states/eV per cell
ΔH_f (0 K) ... -72 kJ/mol of formula units
Symmetry ... No. 216
Total magnetization ... 0.00 μB per formula unit
Volume ... 20.034 Å³/atom
E ... -2.5235 eV per atom